VASP calculation (GGA-PBEsol) on an optimized crystal structure of K2BaLi.

Unit cell a=14.0067 b=14.0067 c=14.0067 alpha=17.60 beta=17.60 gamma=17.60
Closest atoms and distances in Å follow each position.
Fractional positions:
K1 0.2402 0.2402 0.2402  3 Li 3.92, 6 K 4.29
K2 0.7598 0.7598 0.7598  3 Li 3.92, 6 K 4.29
Ba1 0.0000 0.0000 0.0000  6 Ba 4.29, 6 K 4.58
Li1 0.5000 0.5000 0.5000  6 K 3.92, 6 Li 4.29

* polymorph energy (0 for the lowest one): 0.327 eV/f.u.
* symmetry: R-3m, No. 166
* total moment: 0.01 Bohr magnetons per cell
* Fermi-level density of states: 1.1618 states/eV/atom

---

VASP calculation (GGA-PBEsol) on an optimized crystal structure of KBa2Li.

Unit cell a=7.6344 b=7.6344 c=7.6344 alpha=136.24 beta=136.24 gamma=63.61
Closest atoms and distances in Å follow each position.
Fractional positions:
K1 0.0000 0.0000 0.0000  8 Ba 4.02-4.31, 4 Li 4.31
Ba1 0.2500 0.7500 0.5000  4 Li 4.02, 4 Ba 4.31, 4 K 4.31
Ba2 0.5000 0.5000 0.0000  4 K 4.02, 4 Ba 4.31, 4 Li 4.31
Li1 0.7500 0.2500 0.5000  8 Ba 4.02-4.31, 4 K 4.31

* symmetry: I-4m2, No. 119
* total energy: -6.7 eV/cell
* total moment: 0.00 Bohr magnetons per cell
* Fermi-level density of states: 1.1531 states/eV/atom

---

VASP calculation (GGA-PBEsol) on an optimized crystal structure of KBaLi4.

Unit cell a=6.5995 b=6.5995 c=6.5995 alpha=60.00 beta=60.00 gamma=60.00
Closest atoms and distances in Å follow each position.
Fractional positions:
K1 0.0000 0.0000 0.0000  12 Li 3.87, 4 Ba 4.04
Ba1 0.7500 0.7500 0.7500  12 Li 3.87, 4 K 4.04
Li1 0.3747 0.3747 0.3747  6 Li 3.29-3.31
Li2 0.3747 0.3747 0.8758  6 Li 3.29-3.31
Li3 0.3747 0.8758 0.3747  6 Li 3.29-3.31
Li4 0.8758 0.3747 0.3747  6 Li 3.29-3.31

* symmetry: F-43m, No. 216
* total energy: -10.7 eV/cell
* total moment: 0.00 Bohr magnetons per cell
* Fermi-level density of states: 0.7517 states/eV/atom

---

VASP calculation (GGA-PBEsol) on an optimized crystal structure of KBa2Li2.

Unit cell a=10.6569 b=10.6569 c=4.0551 alpha=90.00 beta=90.00 gamma=90.00
Closest atoms and distances in Å follow each position.
Fractional positions:
K1 0.0000 0.0000 0.0000  2 K 4.06, 4 Ba 4.16, 8 Li 4.49
K2 0.5000 0.5000 0.0000  2 K 4.06, 4 Ba 4.16, 8 Li 4.49
Ba1 0.1335 0.3665 0.0000  6 Li 3.73, 3 Ba 4.03-4.06, 2 K 4.16
Ba2 0.3665 0.8665 0.0000  6 Li 3.73, 3 Ba 4.03-4.06, 2 K 4.16
Ba3 0.6335 0.1335 0.0000  6 Li 3.73, 3 Ba 4.03-4.06, 2 K 4.16
Ba4 0.8665 0.6335 0.0000  6 Li 3.73, 3 Ba 4.03-4.06, 2 K 4.16
Li1 0.1591 0.6591 0.5000  6 Ba 3.73, 2 Li 4.06
Li2 0.3409 0.1591 0.5000  6 Ba 3.73, 2 Li 4.06
Li3 0.6591 0.8409 0.5000  6 Ba 3.73, 2 Li 4.06
Li4 0.8409 0.3409 0.5000  6 Ba 3.73, 2 Li 4.06

* polymorph energy (0 for the lowest one): 0.281 eV/f.u.
* symmetry: P4/mbm, No. 127
* total moment: 0.00 Bohr magnetons per cell
* Fermi-level density of states: 1.0297 states/eV/atom

---

VASP calculation (GGA-PBEsol) on an optimized crystal structure of K2BaLi.

Unit cell a=4.3454 b=4.3489 c=11.5243 alpha=90.00 beta=90.02 gamma=90.00
Closest atoms and distances in Å follow each position.
Fractional positions:
K1 0.0000 0.0000 0.0000  8 K 4.35-4.72, 4 Ba 4.62-4.63
K2 0.4963 0.5000 0.3097  4 Li 3.84-3.85
Ba1 0.4972 0.5000 0.7002  4 Li 3.77-3.78
Li1 0.9961 0.0000 0.5101  4 Ba 3.77-3.78, 4 K 3.84-3.85

* polymorph energy (0 for the lowest one): 0.000 eV/f.u.
* symmetry: Pm, No. 6
* total moment: 0.00 Bohr magnetons per cell
* Fermi-level density of states: 1.0810 states/eV/atom

---

VASP calculation (GGA-PBEsol) on an optimized crystal structure of KBa2Li2.

Unit cell a=9.7418 b=9.7418 c=4.9226 alpha=90.00 beta=90.00 gamma=90.00
Closest atoms and distances in Å follow each position.
Fractional positions:
K1 0.0000 0.0000 0.0000  4 Li 3.90
K2 0.5000 0.5000 0.0000  4 Li 3.90
Ba1 0.1678 0.3322 0.5000  6 Li 3.74-3.85
Ba2 0.3322 0.8322 0.5000  6 Li 3.74-3.85
Ba3 0.6678 0.1678 0.5000  6 Li 3.74-3.85
Ba4 0.8322 0.6678 0.5000  6 Li 3.74-3.85
Li1 0.1171 0.6171 0.0000  1 Li 3.23
Li2 0.3829 0.1171 0.0000  1 Li 3.23
Li3 0.6171 0.8829 0.0000  1 Li 3.23
Li4 0.8829 0.3829 0.0000  1 Li 3.23

* polymorph energy (0 for the lowest one): 0.000 eV/f.u.
* symmetry: P4/mbm, No. 127
* total moment: 0.00 Bohr magnetons per cell
* Fermi-level density of states: 0.8339 states/eV/atom